# Ac2PmPr4Y2

An optimized crystal structure of Ac2PmPr4Y2 (GGA-PBE, Alexandria via LeMat-Bulk).

abc: 3.727 9.072 10.223
angles: 99.00 90.00 101.85
Fractional coordinates of all 9 atoms:
Y (0.666, 0.332, 0.921)
Y (0.334, 0.668, 0.079)
Pr (0.169, 0.339, 0.223)
Pr (0.831, 0.661, 0.777)
Pr (0.489, 0.977, 0.678)
Pr (0.511, 0.023, 0.322)
Ac (0.837, 0.673, 0.416)
Ac (0.163, 0.327, 0.584)
Pm (0.000, 0.000, 0.000)

## Properties
Volume in Å³ per cell: 334
N(E_F) in states/eV per cell: 11.45
Size of the total moment in μB/f.u.: 0.00
DFT formation energy in kJ/mol of formula units: 17

# AcPmPrY2

An optimized crystal structure of AcPmPrY2 (GGA-PBE, Alexandria via LeMat-Bulk).

abc: 5.954 9.879 6.464
angles: 108.39 90.00 90.00
Fractional coordinates of all 10 atoms:
Y (0.750, 0.692, 0.435)
Y (0.250, 0.508, 0.169)
Y (0.250, 0.308, 0.565)
Y (0.750, 0.492, 0.831)
Ac (0.750, 0.891, 0.035)
Ac (0.250, 0.109, 0.965)
Pr (0.250, 0.692, 0.763)
Pr (0.750, 0.308, 0.237)
Pm (0.750, 0.103, 0.622)
Pm (0.250, 0.897, 0.378)

## Properties
Volume in Å³ per cell: 361
N(E_F) in states/eV per cell: 16.79
Size of the total moment in μB/f.u.: 0.00
DFT formation energy in kJ/mol of formula units: 17

# AcPm3PrY

An optimized crystal structure of AcPm3PrY (GGA-PBE, Alexandria via LeMat-Bulk).

abc: 5.247 8.302 11.087
angles: 116.50 90.00 90.00
Fractional coordinates of all 12 atoms:
Y (0.250, 0.128, 0.626)
Y (0.750, 0.872, 0.374)
Pm (0.250, 0.130, 0.960)
Pm (0.750, 0.375, 0.545)
Pm (0.750, 0.378, 0.208)
Pm (0.250, 0.625, 0.455)
Pm (0.250, 0.622, 0.792)
Pm (0.750, 0.870, 0.040)
Ac (0.250, 0.125, 0.292)
Ac (0.750, 0.875, 0.708)
Pr (0.750, 0.379, 0.875)
Pr (0.250, 0.621, 0.125)

## Properties
Volume in Å³ per cell: 432
N(E_F) in states/eV per cell: 20.24
Size of the total moment in μB/f.u.: 0.00
DFT formation energy in kJ/mol of formula units: 19

# AcPm6PrY2

An optimized crystal structure of AcPm6PrY2 (GGA-PBE, Alexandria via LeMat-Bulk).

abc: 9.749 9.045 9.045
angles: 116.10 92.75 92.75
Fractional coordinates of all 20 atoms:
Pm (0.941, 0.891, 0.245)
Pm (0.383, 0.523, 0.294)
Pm (0.617, 0.477, 0.706)
Pm (0.059, 0.109, 0.755)
Pm (0.178, 0.549, 0.009)
Pm (0.322, 0.991, 0.451)
Pm (0.883, 0.294, 0.523)
Pm (0.678, 0.009, 0.549)
Pm (0.822, 0.451, 0.991)
Pm (0.559, 0.755, 0.109)
Pm (0.441, 0.245, 0.891)
Pm (0.117, 0.706, 0.477)
Ac (0.750, 0.039, 0.961)
Ac (0.250, 0.961, 0.039)
Y (0.448, 0.796, 0.696)
Y (0.948, 0.696, 0.796)
Y (0.052, 0.304, 0.204)
Y (0.552, 0.204, 0.304)
Pr (0.750, 0.592, 0.408)
Pr (0.250, 0.408, 0.592)

## Properties
Volume in Å³ per cell: 713
N(E_F) in states/eV per cell: 27.35
Size of the total moment in μB/f.u.: 0.00
DFT formation energy in kJ/mol of formula units: 116